[1]
Compound: NaCe2Se4
Source: Alexandria via LeMat-Bulk
Functional: PBE
Structure: optimized geometry

## Properties
Electronic total energy, eV/atom: -5.46
Symmetry: No. 63
Energy above the most stable polymorph in this dataset, eV/f.u.: 0.36

Lattice parameters (Å, degrees): 4.230 7.205 14.187 90.00 90.00 107.07
Last column: magnetic moment on the atom in μB.
Positions (direct):
Ce1 0.134 0.268 0.428  0.56
Se1 0.955 0.911 0.750  -0.03
Ce2 0.866 0.732 0.572  0.56
Ce3 0.134 0.268 0.072  0.56
Na1 0.392 0.784 0.250  0.00
Se2 0.230 0.460 0.886  -0.03
Se3 0.770 0.540 0.114  -0.03
Se4 0.500 0.000 0.000  -0.03
Se5 0.045 0.089 0.250  -0.03
Se6 0.230 0.460 0.614  -0.03
Se7 0.500 0.000 0.500  -0.03
Se8 0.770 0.540 0.386  -0.03
Na2 0.608 0.216 0.750  0.00
Ce4 0.866 0.732 0.928  0.56

***

[2]
Compound: NaCe8Se12
Source: Alexandria via LeMat-Bulk
Functional: PBE
Structure: optimized geometry

## Properties
Electronic total energy, eV/atom: -6.12
Symmetry: No. 122

Lattice parameters (Å, degrees): 14.821 14.821 14.821 145.02 145.02 50.30
Last column: magnetic moment on the atom in μB.
Positions (direct):
Ce1 0.538 0.161 0.118  1.00
Se1 0.843 0.439 0.250  -0.03
Se2 0.222 0.469 0.396  -0.03
Ce2 0.584 0.084 0.500  1.01
Se3 0.907 0.657 0.096  -0.03
Se4 0.189 0.593 0.750  -0.03
Ce3 0.911 0.788 0.618  1.00
Ce4 0.212 0.830 0.123  1.00
Ce5 0.834 0.834 0.000  1.01
Se5 0.174 0.778 0.246  -0.03
Ce6 0.916 0.416 0.500  1.01
Ce7 0.839 0.957 0.377  1.00
Se6 0.531 0.928 0.754  -0.03
Na1 0.250 0.750 0.500  0.00
Ce8 0.875 0.504 0.129  1.01
Ce9 0.254 0.125 0.629  1.01
Se7 0.407 0.157 0.596  -0.03
Se8 0.892 0.143 0.400  -0.03
Se9 0.008 0.107 0.249  -0.03
Ce10 0.375 0.746 0.871  1.01
Se10 0.893 0.142 0.900  -0.03
Se11 0.561 0.811 0.404  -0.03
Ce11 0.580 0.462 0.623  1.00
Se12 0.561 0.811 0.904  -0.03
Se13 0.576 0.322 0.104  -0.03
Se14 0.241 0.992 0.100  -0.03
Se15 0.189 0.093 0.750  -0.03
Se16 0.858 0.759 0.751  -0.03
Se17 0.219 0.472 0.896  -0.03
Se18 0.857 0.258 0.749  -0.03
Se19 0.528 0.424 0.746  -0.03
Se20 0.742 0.491 0.600  -0.03
Ce12 0.170 0.293 0.382  1.00
Se21 0.678 0.781 0.254  -0.03
Na2 0.500 0.500 0.000  0.00
Se22 0.509 0.108 0.251  -0.03
Se23 0.343 0.439 0.250  -0.03
Ce13 0.496 0.625 0.371  1.01
Ce14 0.707 0.089 0.877  1.00
Se24 0.072 0.826 0.604  -0.03
Ce15 0.043 0.420 0.882  1.00
Ce16 0.166 0.166 0.000  1.01

***

[3]
Compound: NaCe5Se6
Source: Alexandria via LeMat-Bulk
Functional: PBE
Structure: optimized geometry

## Properties
Electronic total energy, eV/atom: -6.06
Symmetry: No. 12

Lattice parameters (Å, degrees): 7.294 7.298 7.306 60.04 80.39 70.48
Last column: magnetic moment on the atom in μB.
Positions (direct):
Na1 0.000 0.000 0.000  0.00
Se1 0.249 0.585 0.332  -0.02
Ce1 0.500 0.166 0.667  0.95
Ce2 0.500 0.500 0.000  0.96
Se2 0.752 0.751 0.000  -0.02
Se3 0.249 0.917 0.668  -0.02
Se4 0.751 0.415 0.668  -0.02
Ce3 0.500 0.834 0.333  0.95
Se5 0.751 0.083 0.332  -0.02
Se6 0.248 0.249 0.000  -0.02
Ce4 0.000 0.334 0.333  0.93
Ce5 0.000 0.666 0.667  0.93

***

[4]
Compound: NaCe2Se3
Source: Alexandria via LeMat-Bulk
Functional: PBE
Structure: optimized geometry

## Properties
Electronic total energy, eV/atom: -5.61
Symmetry: No. 71

Lattice parameters (Å, degrees): 7.398 7.398 7.398 146.87 132.47 59.17
Last column: magnetic moment on the atom in μB.
Positions (direct):
Se1 0.170 0.670 0.500  -0.02
Se2 0.830 0.330 0.500  -0.02
Se3 0.500 0.000 0.500  -0.03
Ce1 0.336 0.336 0.000  1.05
Ce2 0.664 0.664 0.000  1.05
Na1 0.000 0.000 0.000  0.00

***

[5]
Compound: NaCe4Se8
Source: Alexandria via LeMat-Bulk
Functional: PBE
Structure: optimized geometry

## Properties
Electronic total energy, eV/atom: -5.66
Symmetry: No. 12

Lattice parameters (Å, degrees): 8.552 8.552 8.225 104.60 105.64 119.89
Last column: magnetic moment on the atom in μB.
Positions (direct):
Ce1 0.268 0.770 0.039  0.36
Se1 0.171 0.505 0.213  -0.02
Ce2 0.753 0.753 0.000  0.37
Ce3 0.247 0.247 0.000  0.37
Se2 0.309 0.493 0.802  -0.02
Se3 0.292 0.958 0.787  -0.02
Se4 0.191 0.034 0.225  -0.02
Ce4 0.732 0.230 0.961  0.36
Se5 0.829 0.495 0.787  -0.02
Se6 0.708 0.042 0.213  -0.02
Se7 0.809 0.966 0.775  -0.02
Na1 0.000 0.500 0.500  0.00
Se8 0.691 0.507 0.198  -0.02

***

[6]
Compound: Na5Ce3Se8
Source: Alexandria via LeMat-Bulk
Functional: PBE
Structure: optimized geometry

## Properties
Electronic total energy, eV/atom: -4.76
Symmetry: No. 166

Lattice parameters (Å, degrees): 8.527 8.527 8.463 59.75 59.75 60.00
Last column: magnetic moment on the atom in μB.
Positions (direct):
Na1 0.500 0.500 0.000  0.00
Na2 0.000 0.000 0.000  0.00
Se1 0.245 0.245 0.264  -0.02
Ce1 0.500 0.000 0.500  0.43
Se2 0.750 0.750 0.270  -0.02
Se3 0.770 0.250 0.730  -0.02
Ce2 0.000 0.000 0.500  0.43
Ce3 0.000 0.500 0.500  0.43
Na3 0.500 0.000 0.000  0.00
Se4 0.250 0.770 0.730  -0.02
Na4 0.000 0.500 0.000  0.00
Na5 0.500 0.500 0.500  0.00
Se5 0.230 0.750 0.270  -0.02
Se6 0.750 0.230 0.270  -0.02
Se7 0.250 0.250 0.730  -0.02
Se8 0.755 0.755 0.736  -0.02

***

[7]
Compound: Na2Ce3Se6
Source: Alexandria via LeMat-Bulk
Functional: PBE
Structure: optimized geometry

## Properties
Electronic total energy, eV/atom: -5.39
Symmetry: No. 12

Lattice parameters (Å, degrees): 7.441 7.439 7.340 80.32 70.35 59.99
Last column: magnetic moment on the atom in μB.
Positions (direct):
Se1 0.747 0.000 0.771  -0.02
Se2 0.409 0.663 0.773  -0.02
Se3 0.071 0.337 0.773  -0.02
Na1 0.167 0.665 0.500  0.00
Se4 0.929 0.663 0.227  -0.02
Na2 0.833 0.335 0.500  0.00
Ce1 0.665 0.670 0.000  0.69
Se5 0.591 0.337 0.227  -0.02
Ce2 0.000 0.000 0.000  0.69
Ce3 0.335 0.330 0.000  0.69
Se6 0.253 0.000 0.229  -0.02

***

[8]
Compound: NaCe4Se7
Source: Alexandria via LeMat-Bulk
Functional: PBE
Structure: optimized geometry

## Properties
Electronic total energy, eV/atom: -5.80
Symmetry: No. 8

Lattice parameters (Å, degrees): 7.176 7.176 12.302 75.50 75.50 33.40
Last column: magnetic moment on the atom in μB.
Positions (direct):
Na1 0.117 0.117 0.575  0.00
Se1 0.039 0.039 0.217  -0.03
Se2 0.340 0.340 0.049  -0.03
Ce1 0.999 0.999 0.997  0.73
Se3 0.960 0.960 0.784  -0.03
Se4 0.659 0.659 0.951  -0.03
Se5 0.494 0.494 0.499  -0.03
Se6 0.742 0.742 0.655  -0.03
Ce2 0.881 0.881 0.435  0.60
Ce3 0.308 0.308 0.796  0.76
Ce4 0.695 0.695 0.197  0.89
Se7 0.265 0.265 0.346  -0.03

***

[9]
Compound: NaCeSe2
Source: Alexandria via LeMat-Bulk
Functional: PBE
Structure: optimized geometry

## Properties
Electronic total energy, eV/atom: -5.18
Symmetry: No. 166

Lattice parameters (Å, degrees): 7.386 7.386 7.386 33.87 33.87 33.87
Last column: magnetic moment on the atom in μB.
Positions (direct):
Ce1 0.000 0.000 0.000  0.95
Se1 0.745 0.745 0.745  -0.02
Na1 0.500 0.500 0.500  0.00
Se2 0.255 0.255 0.255  -0.02

***

[10]
Compound: NaCeSe2
Source: Alexandria via LeMat-Bulk
Functional: PBE
Structure: optimized geometry

## Properties
Electronic total energy, eV/atom: -5.13
Symmetry: No. 160

Lattice parameters (Å, degrees): 4.252 4.252 7.704 73.98 73.98 60.00
Last column: magnetic moment on the atom in μB.
Positions (direct):
Se1 0.258 0.258 0.226  -0.02
Ce1 0.668 0.668 0.996  0.94
Se2 0.078 0.078 0.766  -0.02
Na1 0.496 0.496 0.511  0.00

***

[11]
Compound: NaCe2Se4
Source: Alexandria via LeMat-Bulk
Functional: PBE
Structure: optimized geometry

## Properties
Electronic total energy, eV/atom: -5.51
Symmetry: No. 122
Energy above the most stable polymorph in this dataset, eV/f.u.: 0.00

Lattice parameters (Å, degrees): 7.678 7.678 7.678 109.79 108.84 109.79
Last column: magnetic moment on the atom in μB.
Positions (direct):
Se1 0.486 0.100 0.235  -0.04
Ce1 0.875 0.116 0.491  0.58
Ce2 0.509 0.384 0.625  0.58
Se2 0.765 0.251 0.865  -0.04
Na1 0.750 0.500 0.250  0.00
Ce3 0.241 0.616 0.125  0.58
Se3 0.614 0.749 0.514  -0.04
Na2 0.000 0.000 0.000  0.00
Se4 0.985 0.600 0.736  -0.04
Ce4 0.375 0.884 0.759  0.58
Se5 0.615 0.751 0.015  -0.04
Se6 0.264 0.249 0.864  -0.04
Se7 0.135 0.900 0.386  -0.04
Se8 0.136 0.400 0.385  -0.04

***

[12]
Compound: NaCe4Se6
Source: Alexandria via LeMat-Bulk
Functional: PBE
Structure: optimized geometry

## Properties
Electronic total energy, eV/atom: -5.87
Symmetry: No. 63

Lattice parameters (Å, degrees): 4.218 7.317 21.553 90.00 90.00 106.75
Last column: magnetic moment on the atom in μB.
Positions (direct):
Ce1 0.865 0.730 0.544  1.00
Se1 0.773 0.547 0.417  -0.03
Ce2 0.595 0.190 0.865  0.89
Ce3 0.865 0.730 0.956  1.00
Ce4 0.405 0.810 0.135  0.89
Se2 0.041 0.082 0.338  -0.02
Se3 0.311 0.622 0.250  -0.03
Se4 0.227 0.453 0.583  -0.03
Se5 0.500 0.000 0.000  -0.03
Se6 0.689 0.378 0.750  -0.03
Na1 0.339 0.678 0.750  0.00
Se7 0.500 0.000 0.500  -0.03
Se8 0.227 0.453 0.917  -0.03
Ce5 0.135 0.270 0.044  1.00
Se9 0.041 0.082 0.162  -0.02
Se10 0.959 0.918 0.838  -0.02
Ce6 0.135 0.270 0.456  1.00
Ce7 0.595 0.190 0.635  0.89
Ce8 0.405 0.810 0.365  0.89
Na2 0.661 0.322 0.250  0.00
Se11 0.773 0.547 0.083  -0.03
Se12 0.959 0.918 0.662  -0.02

***

Number 1: magnetic moment 0.149 μB/atom, ΔE_f (raw) -36.45 kcal/mol of atoms. Number 2: magnetic moment 0.431 μB/atom, ΔE_f (raw) -41.53 kcal/mol of atoms. Number 3: magnetic moment 0.471 μB/atom, ΔE_f (raw) -40.12 kcal/mol of atoms. Number 4: magnetic moment 0.423 μB/atom, ΔE_f (raw) -38.44 kcal/mol of atoms. Number 5: magnetic moment 0.096 μB/atom, ΔE_f (raw) -36.66 kcal/mol of atoms. Number 6: magnetic moment 0.069 μB/atom, ΔE_f (raw) -34.47 kcal/mol of atoms. Number 7: magnetic moment 0.183 μB/atom, ΔE_f (raw) -37.70 kcal/mol of atoms. Number 8: magnetic moment 0.251 μB/atom, ΔE_f (raw) -38.83 kcal/mol of atoms. Number 9: magnetic moment 0.250 μB/atom, ΔE_f (raw) -37.35 kcal/mol of atoms. Number 10: magnetic moment 0.250 μB/atom, ΔE_f (raw) -36.41 kcal/mol of atoms. Number 11: magnetic moment 0.148 μB/atom, ΔE_f (raw) -37.63 kcal/mol of atoms. Number 12: magnetic moment 0.401 μB/atom, ΔE_f (raw) -38.95 kcal/mol of atoms.